First-principles (PBE-GGA) data for a geometry-optimized CrBrCl3 structure, as listed in the Alexandria database.

The space group is Pm-3m (No. 221) and the conventional cell measures 4.8219, 4.8219 and 4.8219 Å, with angles of 90.00, 90.00 and 90.00 degrees. The distinct sites, in fractional coordinates, are Cr at (0.0000, 0.0000, 0.0000), Br at (0.5000, 0.5000, 0.5000) and Cl at (0.0000, 0.0000, 0.5000).

The density of states at the Fermi level is 4.9 states/eV/cell. Its distance to the lowest polymorph of the same formula is 0.00 eV/f.u. The raw formation energy comes out at -0.383 eV/atom. As for the crystal system: cubic.